Record 1
The following is a PBE calculation of an optimized crystal structure of Li3ZnFe, from Alexandria.

abc: 4.738 4.738 4.738
angles: 90.00 90.00 90.00
Positions (direct):
Li  0.000  0.000  0.500
Li  0.000  0.500  0.000
Li  0.500  0.000  0.000
Zn  0.500  0.500  0.500
Fe  0.000  0.000  0.000

Computed properties:
Relative energy among the computed polymorphs   63 meV per atom
E   -11.7 eV per cell
Total magnetization   2.46 μB per cell
Formation enthalpy at 0 K   0.76 eV per atom


Record 2
The following is a PBE calculation of an optimized crystal structure of Co2NiAs, from Alexandria.

abc: 2.699 3.723 4.897
angles: 90.00 103.28 90.00
Positions (direct):
Co  0.121  0.000  0.252
Co  0.879  0.000  0.748
Ni  0.500  0.500  0.000
As  0.500  0.500  0.500

Computed properties:
E   -24.4 eV per cell
Total magnetization   2.46 μB per cell
Formation enthalpy at 0 K   0.05 eV per atom


Record 3
The following is a PBE calculation of an optimized crystal structure of K4NaTl, from Alexandria.

abc: 10.522 10.522 6.746
angles: 99.70 99.70 113.27
Positions (direct):
K  0.065  0.707  0.933
K  0.214  0.368  0.647
K  0.293  0.935  0.567
K  0.368  0.214  0.147
K  0.632  0.786  0.853
K  0.707  0.065  0.433
K  0.786  0.632  0.353
K  0.935  0.293  0.067
Na  0.377  0.623  0.250
Na  0.623  0.377  0.750
Tl  0.001  0.999  0.250
Tl  0.999  0.001  0.750

Computed properties:
Relative energy among the computed polymorphs   7 meV per atom
E   -16.4 eV per cell
Total magnetization   0.00 μB per cell
Formation enthalpy at 0 K   -0.02 eV per atom


Record 4
The following is a PBE calculation of an optimized crystal structure of CdSi2Br8, from Alexandria.

abc: 8.453 8.453 9.914
angles: 113.59 113.59 55.91
Positions (direct):
Cd  0.000  0.000  0.000
Si  0.209  0.209  0.685
Si  0.791  0.791  0.315
Br  0.076  0.620  0.250
Br  0.158  0.158  0.437
Br  0.376  0.376  0.805
Br  0.380  0.924  0.750
Br  0.620  0.076  0.250
Br  0.624  0.624  0.195
Br  0.842  0.842  0.563
Br  0.924  0.380  0.750

Computed properties:
E   -32.4 eV per cell
Total magnetization   0.00 μB per cell
Formation energy from raw total energies   -663 meV/atom


Record 5
The following is a PBE calculation of an optimized crystal structure of Th2Si2Hg, from Alexandria.

abc: 7.547 7.547 4.214
angles: 90.00 90.00 90.00
Positions (direct):
Th  0.183  0.317  0.000
Th  0.317  0.817  0.000
Th  0.683  0.183  0.000
Th  0.817  0.683  0.000
Si  0.110  0.610  0.500
Si  0.390  0.110  0.500
Si  0.610  0.890  0.500
Si  0.890  0.390  0.500
Hg  0.000  0.000  0.500
Hg  0.500  0.500  0.500

Computed properties:
E   -57.5 eV per cell
Total magnetization   0.00 μB per cell
Formation energy from raw total energies   -549 meV/atom


Record 6
The following is a PBE calculation of an optimized crystal structure of NbPd4Au, from Alexandria.

abc: 4.896 4.896 4.879
angles: 99.23 99.23 119.75
Positions (direct):
Nb  0.000  0.000  0.000
Pd  0.164  0.836  0.500
Pd  0.333  0.667  0.000
Pd  0.667  0.333  0.000
Pd  0.836  0.164  0.500
Au  0.500  0.500  0.500

Computed properties:
E   -35.6 eV per cell
Total magnetization   0.00 μB per cell
Formation enthalpy at 0 K   -0.25 eV per atom


Record 7
The following is a PBE calculation of an optimized crystal structure of Ca2Cd2Ga, from Alexandria.

abc: 8.538 8.538 3.981
angles: 90.00 90.00 90.00
Positions (direct):
Ca  0.163  0.337  0.000
Ca  0.337  0.837  0.000
Ca  0.663  0.163  0.000
Ca  0.837  0.663  0.000
Cd  0.133  0.633  0.500
Cd  0.367  0.133  0.500
Cd  0.633  0.867  0.500
Cd  0.867  0.367  0.500
Ga  0.000  0.000  0.000
Ga  0.500  0.500  0.000

Computed properties:
Relative energy among the computed polymorphs   198 meV per atom
E   -18.8 eV per cell
Total magnetization   0.00 μB per cell
Formation enthalpy at 0 K   -0.11 eV per atom


Record 8
The following is a PBE calculation of an optimized crystal structure of La6Tb2PrSm, from Alexandria.

abc: 6.738 6.738 9.021
angles: 101.20 101.20 65.09
Positions (direct):
La  0.097  0.544  0.201
La  0.136  0.136  0.434
La  0.456  0.903  0.799
La  0.544  0.097  0.201
La  0.864  0.864  0.566
La  0.903  0.456  0.799
Tb  0.408  0.408  0.839
Tb  0.592  0.592  0.161
Pr  0.000  0.000  0.000
Sm  0.500  0.500  0.500

Computed properties:
E   -46.5 eV per cell
Total magnetization   0.00 μB per cell
Formation enthalpy at 0 K   0.18 eV per atom


Record 9
The following is a PBE calculation of an optimized crystal structure of Rb2MgGa3Ge4, from Alexandria.

abc: 4.695 4.695 10.902
angles: 90.00 90.00 90.00
Positions (direct):
Rb  0.000  0.500  0.246
Rb  0.500  0.000  0.754
Mg  0.000  0.000  0.500
Ga  0.000  0.500  0.875
Ga  0.500  0.000  0.125
Ga  0.500  0.500  0.500
Ge  0.000  0.000  0.000
Ge  0.000  0.500  0.634
Ge  0.500  0.000  0.366
Ge  0.500  0.500  0.000

Computed properties:
E   -32.2 eV per cell
Total magnetization   0.00 μB per cell
Formation enthalpy at 0 K   -0.11 eV per atom


Record 10
The following is a PBE calculation of an optimized crystal structure of Ba2NiWS, from Alexandria.

abc: 6.012 6.012 4.538
angles: 90.00 90.00 90.00
Positions (direct):
Ba  0.000  0.500  0.000
Ba  0.500  0.000  0.000
Ni  0.000  0.000  0.000
W  0.000  0.000  0.500
S  0.500  0.500  0.500

Computed properties:
E   -24.9 eV per cell
Total magnetization   3.34 μB per cell
Formation energy from raw total energies   358 meV/atom


Record 11
The following is a PBE calculation of an optimized crystal structure of TaAs2C, from Alexandria.

abc: 5.714 5.714 5.714
angles: 119.68 119.68 90.56
Positions (direct):
Ta  0.000  0.000  0.000
Ta  0.750  0.250  0.500
As  0.210  0.125  0.585
As  0.375  0.790  0.915
As  0.540  0.625  0.415
As  0.875  0.460  0.085
C  0.250  0.750  0.500
C  0.500  0.500  0.000

Computed properties:
E   -54.4 eV per cell
Total magnetization   0.00 μB per cell
Formation enthalpy at 0 K   0.79 eV per atom


Record 12
The following is a PBE calculation of an optimized crystal structure of K3AlCr, from Alexandria.

abc: 6.519 6.519 6.519
angles: 90.00 90.00 90.00
Positions (direct):
K  0.000  0.000  0.500
K  0.000  0.500  0.000
K  0.500  0.000  0.000
Al  0.500  0.500  0.500
Cr  0.000  0.000  0.000

Computed properties:
E   -11.7 eV per cell
Total magnetization   5.42 μB per cell
Formation enthalpy at 0 K   0.99 eV per atom


Record 13
The following is a PBE calculation of an optimized crystal structure of Tl, from Alexandria.

abc: 10.585 10.585 10.585
angles: 109.47 109.47 109.47
Positions (direct):
Tl  0.000  0.000  0.000
Tl  0.000  0.000  0.632
Tl  0.000  0.190  0.372
Tl  0.000  0.372  0.190
Tl  0.000  0.400  0.680
Tl  0.000  0.632  0.000
Tl  0.000  0.680  0.400
Tl  0.182  0.810  0.810
Tl  0.190  0.000  0.372
Tl  0.190  0.372  0.000
Tl  0.280  0.600  0.600
Tl  0.320  0.320  0.720
Tl  0.320  0.720  0.320
Tl  0.368  0.368  0.368
Tl  0.372  0.000  0.190
Tl  0.372  0.190  0.000
Tl  0.400  0.000  0.680
Tl  0.400  0.680  0.000
Tl  0.600  0.280  0.600
Tl  0.600  0.600  0.280
Tl  0.628  0.628  0.818
Tl  0.628  0.818  0.628
Tl  0.632  0.000  0.000
Tl  0.680  0.000  0.400
Tl  0.680  0.400  0.000
Tl  0.720  0.320  0.320
Tl  0.810  0.182  0.810
Tl  0.810  0.810  0.182
Tl  0.818  0.628  0.628

Computed properties:
Relative energy among the computed polymorphs   18 meV per atom
E   -68.1 eV per cell
Total magnetization   0.00 μB per cell
Formation enthalpy at 0 K   0.02 eV per atom


Record 14
The following is a PBE calculation of an optimized crystal structure of Ce2PuN3, from Alexandria.

abc: 6.139 6.139 6.139
angles: 146.39 131.88 59.97
Positions (direct):
Ce  0.167  0.167  0.000
Ce  0.833  0.833  0.000
Pu  0.500  0.500  0.000
N  0.000  0.500  0.500
N  0.339  0.839  0.500
N  0.661  0.161  0.500

Computed properties:
E   -59.7 eV per cell
Total magnetization   5.79 μB per cell
Formation energy from raw total energies   -1413 meV/atom


Record 15
The following is a PBE calculation of an optimized crystal structure of ZnTeAsSe2, from Alexandria.

abc: 4.887 4.887 4.956
angles: 90.00 90.00 90.00
Positions (direct):
Zn  0.000  0.000  0.000
Te  0.500  0.500  0.500
As  0.000  0.000  0.500
Se  0.000  0.500  0.000
Se  0.500  0.000  0.000

Computed properties:
Relative energy among the computed polymorphs   0 meV per atom
E   -13.6 eV per cell
Total magnetization   0.00 μB per cell
Formation energy from raw total energies   478 meV/atom


Record 16
The following is a PBE calculation of an optimized crystal structure of BaReAg2, from Alexandria.

abc: 2.928 4.665 6.911
angles: 90.00 102.22 90.00
Positions (direct):
Ba  0.000  0.000  0.000
Re  0.667  0.500  0.339
Ag  0.226  0.000  0.461
Ag  0.350  0.500  0.701

Computed properties:
Relative energy among the computed polymorphs   19 meV per atom
E   -16.8 eV per cell
Total magnetization   0.00 μB per cell
Formation enthalpy at 0 K   0.82 eV per atom


Record 17
The following is a PBE calculation of an optimized crystal structure of CaCe2Gd, from Alexandria.

abc: 12.789 12.789 12.789
angles: 15.45 15.45 15.45
Positions (direct):
Ca  0.000  0.000  0.000
Ce  0.089  0.089  0.089
Ce  0.911  0.911  0.911
Gd  0.500  0.500  0.500

Computed properties:
E   -26.9 eV per cell
Total magnetization   8.92 μB per cell
Formation enthalpy at 0 K   0.25 eV per atom


Record 18
The following is a PBE calculation of an optimized crystal structure of Ba2SrSnN, from Alexandria.

abc: 5.578 5.578 5.300
angles: 90.00 90.00 90.00
Positions (direct):
Ba  0.000  0.500  0.000
Ba  0.500  0.000  0.000
Sr  0.000  0.000  0.500
Sn  0.500  0.500  0.500
N  0.000  0.000  0.000

Computed properties:
E   -20.5 eV per cell
Total magnetization   0.34 μB per cell
Formation energy from raw total energies   -526 meV/atom


Record 19
The following is a PBE calculation of an optimized crystal structure of CoWBr2, from Alexandria.

abc: 4.511 4.511 4.511
angles: 60.00 60.00 60.00
Positions (direct):
Co  0.000  0.000  0.000
W  0.500  0.500  0.500
Br  0.250  0.250  0.250
Br  0.750  0.750  0.750

Computed properties:
Relative energy among the computed polymorphs   1030 meV per atom
E   -18.6 eV per cell
Total magnetization   0.99 μB per cell
Formation energy from raw total energies   1212 meV/atom


Record 20
The following is a PBE calculation of an optimized crystal structure of MnBeGaNi, from Alexandria.

abc: 4.032 4.032 4.032
angles: 60.00 60.00 60.00
Positions (direct):
Mn  0.000  0.000  0.000
Be  0.750  0.750  0.750
Ga  0.250  0.250  0.250
Ni  0.500  0.500  0.500

Computed properties:
E   -22.3 eV per cell
Total magnetization   3.28 μB per cell
Formation enthalpy at 0 K   -0.16 eV per atom